# 1
Material: BaPt4
Method: DFT, PBE-GGA
State: optimized geometry

Calculated values
DFT total energy (eV per atom): -3.8870
Energy above the most stable polymorph in this dataset (meV/atom): 1582

Cell: 5.499 5.499 5.499 Å, 109.47 109.47 109.47°
Atoms (fractional coordinates):
1 Ba 0.000 0.000 0.000
2 Pt 0.000 0.000 0.500
3 Pt 0.000 0.500 0.000
4 Pt 0.500 0.000 0.000
5 Pt 0.500 0.500 0.500

***

# 2
Material: Ba5Pt4
Method: DFT, PBE-GGA
State: optimized geometry

Calculated values
DFT total energy (eV per atom): -3.9657
Energy above the most stable polymorph in this dataset (meV/atom): 400

Cell: 7.431 7.431 7.431 Å, 99.06 99.06 133.25°
Atoms (fractional coordinates):
1 Ba 0.000 0.000 0.000
2 Ba 0.310 0.310 0.621
3 Ba 0.310 0.690 0.000
4 Ba 0.690 0.310 0.000
5 Ba 0.690 0.690 0.379
6 Pt 0.000 0.352 0.352
7 Pt 0.000 0.648 0.648
8 Pt 0.352 0.000 0.352
9 Pt 0.648 0.000 0.648

***

# 3
Material: BaPt3
Method: DFT, PBE-GGA
State: optimized geometry

Calculated values
DFT total energy (eV per atom): -4.7690

Cell: 5.579 5.579 5.579 Å, 90.00 90.00 90.00°
Atoms (fractional coordinates):
1 Ba 0.000 0.000 0.000
2 Ba 0.500 0.500 0.500
3 Pt 0.000 0.250 0.500
4 Pt 0.000 0.750 0.500
5 Pt 0.250 0.500 0.000
6 Pt 0.500 0.000 0.250
7 Pt 0.500 0.000 0.750
8 Pt 0.750 0.500 0.000

***

The records above yield DFT formation energy values of 1.330 -0.213 0.242 eV/atom, respectively.
The records above yield D(E_F) values of 1.29 0.37 2.38 states/eV/atom, respectively.